# NdTiB12 | Alexandria via LeMat-Bulk | PBE | relaxed
# * total magnetization: 1.5 μB per cell
# * formation energy: -0.177 eV/atom
# * DOS(E_F): 2.29 states/eV/cell
# * SG: P4/mmm (123)
data_NdTiB12
_cell_length_a 4.1100
_cell_length_b 4.1100
_cell_length_c 8.1985
_cell_angle_alpha 90.00
_cell_angle_beta 90.00
_cell_angle_gamma 90.00
_symmetry_space_group_name_H-M 'P 1'
_symmetry_Int_Tables_number 1
_symmetry_space_group_name_Hall 'P 1'
loop_
_atom_site_label
_atom_site_type_symbol
_atom_site_fract_x
_atom_site_fract_y
_atom_site_fract_z
_atom_site_occupancy
Nd1 Nd 0.0000 0.0000 0.0000 1
Ti1 Ti 0.0000 0.0000 0.5000 1
B1 B 0.1991 0.5000 0.2531 1
B2 B 0.1991 0.5000 0.7469 1
B3 B 0.5000 0.1991 0.2531 1
B4 B 0.5000 0.1991 0.7469 1
B5 B 0.5000 0.5000 0.1011 1
B6 B 0.5000 0.5000 0.4018 1
B7 B 0.5000 0.5000 0.5982 1
B8 B 0.5000 0.5000 0.8989 1
B9 B 0.5000 0.8009 0.2531 1
B10 B 0.5000 0.8009 0.7469 1
B11 B 0.8009 0.5000 0.2531 1
B12 B 0.8009 0.5000 0.7469 1



# MgAlIn2 | Alexandria via LeMat-Bulk | PBE | relaxed
# * total magnetization: 0.0 μB per cell
# * formation energy: 0.041 eV/atom
# * DOS(E_F): 1.41 states/eV/cell
# * SG: P4mm (99)
data_MgAlIn2
_cell_length_a 3.1304
_cell_length_b 3.1304
_cell_length_c 9.3942
_cell_angle_alpha 90.00
_cell_angle_beta 90.00
_cell_angle_gamma 90.00
_symmetry_space_group_name_H-M 'P 1'
_symmetry_Int_Tables_number 1
_symmetry_space_group_name_Hall 'P 1'
loop_
_atom_site_label
_atom_site_type_symbol
_atom_site_fract_x
_atom_site_fract_y
_atom_site_fract_z
_atom_site_occupancy
Mg1 Mg 0.0000 0.0000 0.0000 1
Al1 Al 0.5000 0.5000 0.2155 1
In1 In 0.0000 0.0000 0.4693 1
In2 In 0.5000 0.5000 0.7531 1



# AsPO | Alexandria via LeMat-Bulk | PBE | relaxed
# * total magnetization: 0.0 μB per cell
# * energy relative to the elements, uncorrected: -0.66 eV per atom
# * SG: Cmc2_1 (36)
data_AsPO
_cell_length_a 6.4204
_cell_length_b 6.4204
_cell_length_c 4.8310
_cell_angle_alpha 90.00
_cell_angle_beta 90.00
_cell_angle_gamma 147.34
_symmetry_space_group_name_H-M 'P 1'
_symmetry_Int_Tables_number 1
_symmetry_space_group_name_Hall 'P 1'
loop_
_atom_site_label
_atom_site_type_symbol
_atom_site_fract_x
_atom_site_fract_y
_atom_site_fract_z
_atom_site_occupancy
As1 As 0.1393 0.8607 0.5000 1
As2 As 0.8607 0.1393 0.0000 1
P1 P 0.3219 0.6781 0.6805 1
P2 P 0.6781 0.3219 0.1805 1
O1 O 0.4041 0.5959 0.4441 1
O2 O 0.5959 0.4041 0.9441 1



# Pm4Dy3Zn4 | Alexandria via LeMat-Bulk | PBE | relaxed
# * total magnetization: 0.0 μB per cell
# * formation energy: -0.096 eV/atom
# * DOS(E_F): 11.17 states/eV/cell
# * SG: Immm (71)
data_Pm4Dy3Zn4
_cell_length_a 9.3915
_cell_length_b 9.3915
_cell_length_c 9.3915
_cell_angle_alpha 148.38
_cell_angle_beta 136.65
_cell_angle_gamma 54.64
_symmetry_space_group_name_H-M 'P 1'
_symmetry_Int_Tables_number 1
_symmetry_space_group_name_Hall 'P 1'
loop_
_atom_site_label
_atom_site_type_symbol
_atom_site_fract_x
_atom_site_fract_y
_atom_site_fract_z
_atom_site_occupancy
Pm1 Pm 0.0535 0.8219 0.2316 1
Pm2 Pm 0.4097 0.1781 0.2316 1
Pm3 Pm 0.5903 0.8219 0.7684 1
Pm4 Pm 0.9465 0.1781 0.7684 1
Dy1 Dy 0.0000 0.5000 0.5000 1
Dy2 Dy 0.4024 0.4024 0.0000 1
Dy3 Dy 0.5976 0.5976 0.0000 1
Zn1 Zn 0.1753 0.6753 0.5000 1
Zn2 Zn 0.3151 0.0000 0.3151 1
Zn3 Zn 0.6849 0.0000 0.6849 1
Zn4 Zn 0.8247 0.3247 0.5000 1



# InC4 | Alexandria via LeMat-Bulk | PBE | relaxed
# * total magnetization: 0.0 μB per cell
# * offset from the most stable computed form: 16.55 eV/f.u.
# * formation energy: 4.507 eV/atom
# * DOS(E_F): 3.45 states/eV/cell
# * SG: Pm-3m (221)
data_InC4
_cell_length_a 4.3285
_cell_length_b 4.3285
_cell_length_c 4.3285
_cell_angle_alpha 90.00
_cell_angle_beta 90.00
_cell_angle_gamma 90.00
_symmetry_space_group_name_H-M 'P 1'
_symmetry_Int_Tables_number 1
_symmetry_space_group_name_Hall 'P 1'
loop_
_atom_site_label
_atom_site_type_symbol
_atom_site_fract_x
_atom_site_fract_y
_atom_site_fract_z
_atom_site_occupancy
In1 In 0.0000 0.0000 0.0000 1
C1 C 0.0000 0.0000 0.5000 1
C2 C 0.0000 0.5000 0.0000 1
C3 C 0.5000 0.0000 0.0000 1
C4 C 0.5000 0.5000 0.5000 1



> What is the total magnetization in the fifth record?

0.0 μB per cell



> Look up the total magnetization of the third one.

0.0 μB per cell



> total magnetization of number 4 (Pm4Dy3Zn4)?

0.0 μB per cell



Please write out number 2 again, unchanged.
# MgAlIn2 | Alexandria via LeMat-Bulk | PBE | relaxed
# * total magnetization: 0.0 μB per cell
# * formation energy: 0.041 eV/atom
# * DOS(E_F): 1.41 states/eV/cell
# * SG: P4mm (99)
data_MgAlIn2
_cell_length_a 3.1304
_cell_length_b 3.1304
_cell_length_c 9.3942
_cell_angle_alpha 90.00
_cell_angle_beta 90.00
_cell_angle_gamma 90.00
_symmetry_space_group_name_H-M 'P 1'
_symmetry_Int_Tables_number 1
_symmetry_space_group_name_Hall 'P 1'
loop_
_atom_site_label
_atom_site_type_symbol
_atom_site_fract_x
_atom_site_fract_y
_atom_site_fract_z
_atom_site_occupancy
Mg1 Mg 0.0000 0.0000 0.0000 1
Al1 Al 0.5000 0.5000 0.2155 1
In1 In 0.0000 0.0000 0.4693 1
In2 In 0.5000 0.5000 0.7531 1